No. 1
The following is a PBE calculation of a geometry-optimized Tc4TeCl structure, from the Alexandria database.

## Properties
D(E_F)	1.291	states/eV/atom
symmetry	F-43m, No. 216
raw total energy	-6.7818	eV per atom
total magnetic moment	0.0	μB/f.u.

abc: 5.2946 5.2946 5.2946
angles: 60.00 60.00 60.00
Last column: nearest neighbours and their distance in Å.
Fractional positions:
Tc 0.8731 0.3756 0.3756  6 Tc 2.63-2.66
Tc 0.3756 0.3756 0.8731  6 Tc 2.63-2.66
Tc 0.3756 0.8731 0.3756  6 Tc 2.63-2.66
Tc 0.3756 0.3756 0.3756  6 Tc 2.63-2.66
Te 0.7500 0.7500 0.7500  12 Tc 3.10, 4 Cl 3.24
Cl 0.0000 0.0000 0.0000  12 Tc 3.11, 4 Te 3.24



No. 2
The following is a PBE calculation of a geometry-optimized KInTe2 structure, from the Alexandria database.

## Properties
D(E_F)	0.379	states/eV/atom
symmetry	Amm2, No. 38
raw total energy	-2.9729	eV per atom
total magnetic moment	0.0	μB/f.u.

abc: 6.9939 6.9939 6.0430
angles: 89.98 89.98 26.87
Last column: nearest neighbours and their distance in Å.
Fractional positions:
In 0.5116 0.5116 0.6253  1 Te 3.04, 2 In 3.25
K 0.2588 0.2588 0.1245  2 K 3.25, 7 Te 3.45-3.60
Te 0.9945 0.9945 0.1256  2 Te 3.25, 4 In 3.44, 3 K 3.60
Te 0.7351 0.7351 0.6246  1 In 3.04, 2 Te 3.25



No. 3
The following is a PBE calculation of a geometry-optimized Pu4OsRu2 structure, from the Alexandria database.

## Properties
D(E_F)	3.238	states/eV/atom
symmetry	I-42d, No. 122
raw total energy	-12.4712	eV per atom
total magnetic moment	18.4	μB/f.u.

abc: 7.2657 7.2657 7.2657
angles: 109.16 110.10 109.16
Last column: nearest neighbours and their distance in Å.
Fractional positions:
Pu 0.1250 0.8850 0.3728  4 Ru 2.76-3.07, 2 Os 2.78-3.03
Pu 0.6272 0.7522 0.5122  4 Ru 2.76-3.07, 2 Os 2.78-3.03
Pu 0.9900 0.6150 0.7378  4 Ru 2.76-3.07, 2 Os 2.78-3.03
Pu 0.2622 0.2522 0.8772  4 Ru 2.76-3.07, 2 Os 2.78-3.03
Pu 0.6250 0.7478 0.0100  4 Ru 2.76-3.07, 2 Os 2.78-3.03
Pu 0.7600 0.2478 0.8750  4 Ru 2.76-3.07, 2 Os 2.78-3.03
Pu 0.4878 0.1150 0.2400  4 Ru 2.76-3.07, 2 Os 2.78-3.03
Pu 0.1228 0.3850 0.3750  4 Ru 2.76-3.07, 2 Os 2.78-3.03
Os 0.0000 0.0000 0.0000  8 Pu 2.78-3.03
Os 0.7500 0.5000 0.2500  8 Pu 2.78-3.03
Ru 0.8750 0.1242 0.4992  8 Pu 2.76-3.07
Ru 0.5008 0.3758 0.6250  8 Pu 2.76-3.07
Ru 0.3750 0.8758 0.7508  8 Pu 2.76-3.07
Ru 0.2492 0.6242 0.1250  8 Pu 2.76-3.07



No. 4
The following is a PBE calculation of a geometry-optimized ScIn2Cu structure, from the Alexandria database.

## Properties
D(E_F)	0.682	states/eV/atom
symmetry	Pm, No. 6
raw total energy	-4.1119	eV per atom
total magnetic moment	0.0	μB/f.u.

abc: 4.6459 3.2032 5.7314
angles: 89.93 90.00 90.00
Last column: nearest neighbours and their distance in Å.
Fractional positions:
Cu 0.5000 0.0007 0.7376  3 In 2.63-2.69
In 0.0000 0.9983 0.9741  2 Cu 2.69, 2 In 2.91
In 0.5000 0.0009 0.2786  1 Cu 2.63, 2 In 2.91
Sc 0.0000 0.5001 0.5097  8 In 3.10-3.47, 4 Cu 3.11, 2 Sc 3.20



No. 5
The following is a PBE calculation of a geometry-optimized K2Rh structure, from the Alexandria database.

## Properties
D(E_F)	0.852	states/eV/atom
E above lowest polymorph	0.8	kJ per mole of atoms
symmetry	C2/m, No. 12
raw total energy	-2.8206	eV per atom
total magnetic moment	0.0	μB/f.u.

abc: 6.8695 6.8695 9.8645
angles: 68.06 68.06 36.48
Last column: nearest neighbours and their distance in Å.
Fractional positions:
K 0.6881 0.6881 0.8258  3 Rh 3.31-3.48
K 0.9973 0.9973 0.3285  3 Rh 3.31-3.49, 1 K 3.41
K 0.0027 0.0027 0.6715  3 Rh 3.31-3.49, 1 K 3.41
K 0.3119 0.3119 0.1742  3 Rh 3.31-3.48
Rh 0.2784 0.2784 0.5246  2 Rh 2.39
Rh 0.7216 0.7216 0.4754  2 Rh 2.39



No. 6
The following is a PBE calculation of a geometry-optimized Rb4Ce3BiSe8 structure, from the Alexandria database.

## Properties
D(E_F)	1.070	states/eV/atom
symmetry	R-3m, No. 166
raw total energy	-4.7880	eV per atom
total magnetic moment	3.0	μB/f.u.

abc: 8.8122 9.4689 8.8121
angles: 117.76 120.00 90.00
Last column: nearest neighbours and their distance in Å.
Fractional positions:
Rb 0.5000 0.0000 0.0000  6 Se 3.49
Rb 0.5000 0.0000 0.5000  6 Se 3.49-3.50
Rb 0.0000 0.0000 0.0000  6 Se 3.49-3.50
Rb 0.0000 0.0000 0.5000  6 Se 3.49-3.50
Ce 0.5000 0.5000 0.0000  6 Se 3.00
Ce 0.5000 0.5000 0.5000  6 Se 3.00
Ce 0.0000 0.5000 0.5000  6 Se 3.00
Bi 0.0000 0.5000 0.0000  6 Se 3.01
Se 0.2336 0.7004 0.9669  2 Ce 3.00, 1 Bi 3.01
Se 0.2337 0.7004 0.4673  2 Ce 3.00, 1 Bi 3.01
Se 0.2668 0.3007 0.5335  3 Ce 3.00
Se 0.7333 0.7004 0.9669  2 Ce 3.00, 1 Bi 3.01
Se 0.2667 0.2996 0.0331  2 Ce 3.00, 1 Bi 3.01
Se 0.7332 0.6993 0.4665  3 Ce 3.00
Se 0.7663 0.2997 0.5327  2 Ce 3.00, 1 Bi 3.01
Se 0.7664 0.2996 0.0331  2 Ce 3.00, 1 Bi 3.01



No. 7
The following is a PBE calculation of a geometry-optimized La2Hg structure, from the Alexandria database.

## Properties
D(E_F)	1.451	states/eV/atom
symmetry	P6_3/mmc, No. 194
raw total energy	-3.6817	eV per atom
total magnetic moment	0.0	μB/f.u.

abc: 5.5032 5.5032 7.2495
angles: 90.00 90.00 60.00
Last column: nearest neighbours and their distance in Å.
Fractional positions:
Hg 0.6667 0.6667 0.2500  3 La 3.18
Hg 0.3333 0.3333 0.7500  3 La 3.18
La 0.0000 0.0000 0.0000  8 La 3.62-3.66, 6 Hg 3.66
La 0.0000 0.0000 0.5000  8 La 3.62-3.66, 6 Hg 3.66
La 0.6667 0.6667 0.7500  3 Hg 3.18
La 0.3333 0.3333 0.2500  3 Hg 3.18



No. 8
The following is a PBE calculation of a geometry-optimized Na2AcPrO4 structure, from the Alexandria database.

## Properties
D(E_F)	0.000	states/eV/atom
symmetry	P2/m, No. 10
raw total energy	-6.4588	eV per atom
total magnetic moment	0.0	μB/f.u.

abc: 3.7150 6.0760 6.4615
angles: 69.08 90.00 90.00
Last column: nearest neighbours and their distance in Å.
Fractional positions:
Na 0.0000 0.0000 0.0000  6 O 2.65
Na 0.5000 0.0000 0.5000  6 O 2.69-2.73
Ac 0.0000 0.5000 0.5000  6 O 2.51-2.52
Pr 0.5000 0.5000 0.0000  6 O 2.44-2.46
O 0.0000 0.7179 0.7675  2 Pr 2.46, 1 Ac 2.52, 3 Na 2.65-2.69
O 0.0000 0.2821 0.2325  2 Pr 2.46, 1 Ac 2.52, 3 Na 2.65-2.69
O 0.5000 0.7193 0.2503  1 Pr 2.44, 2 Ac 2.51, 2 Na 2.65
O 0.5000 0.2807 0.7497  1 Pr 2.44, 2 Ac 2.51, 2 Na 2.65



No. 9
The following is a PBE calculation of a geometry-optimized FeTcAs2 structure, from the Alexandria database.

## Properties
D(E_F)	1.233	states/eV/atom
E above lowest polymorph	38.0	kJ per mole of atoms
symmetry	I-42d, No. 122
raw total energy	-6.6686	eV per atom
total magnetic moment	0.0	μB/f.u.

abc: 5.5150 5.5150 6.4408
angles: 64.65 64.65 90.00
Last column: nearest neighbours and their distance in Å.
Fractional positions:
As 0.6041 0.1250 0.2500  2 Fe 2.27, 2 Tc 2.40
As 0.1459 0.6250 0.2500  2 Fe 2.27, 2 Tc 2.40
As 0.3750 0.3959 0.7500  2 Fe 2.27, 2 Tc 2.40
As 0.8750 0.8541 0.7500  2 Fe 2.27, 2 Tc 2.40
Tc 0.0000 0.0000 0.0000  4 As 2.40
Tc 0.7500 0.2500 0.5000  4 As 2.40
Fe 0.5000 0.5000 0.0000  4 As 2.27
Fe 0.2500 0.7500 0.5000  4 As 2.27



No. 10
The following is a PBE calculation of a geometry-optimized NdY3 structure, from the Alexandria database.

## Properties
D(E_F)	1.836	states/eV/atom
E above lowest polymorph	0.2	kJ per mole of atoms
symmetry	Imm2, No. 44
raw total energy	-6.0299	eV per atom
total magnetic moment	0.0	μB/f.u.

abc: 3.6781 6.3346 6.8063
angles: 117.73 105.68 90.00
Last column: nearest neighbours and their distance in Å.
Fractional positions:
Y 0.2489 0.5830 0.4978  9 Y 3.56-3.68, 3 Nd 3.56-3.57
Y 0.5000 0.5005 0.0000  8 Y 3.56-3.68, 4 Nd 3.65-3.68
Y 0.7511 0.0852 0.5022  9 Y 3.56-3.68, 3 Nd 3.56-3.57
Nd 0.0000 0.9980 0.0000  10 Y 3.56-3.68, 2 Nd 3.68



No. 11
The following is a PBE calculation of a geometry-optimized SiHgO2 structure, from the Alexandria database.

## Properties
D(E_F)	0.679	states/eV/atom
E above lowest polymorph	112.1	kJ per mole of atoms
symmetry	R-3m, No. 166
raw total energy	-4.5709	eV per atom
total magnetic moment	0.0	μB/f.u.

abc: 8.5891 8.5891 8.5891
angles: 22.12 22.12 22.12
Last column: nearest neighbours and their distance in Å.
Fractional positions:
Si 0.0000 0.0000 0.0000  2 O 1.54
Hg 0.5000 0.5000 0.5000  6 O 3.26, 6 Hg 3.30
O 0.9389 0.9389 0.9389  1 Si 1.54
O 0.0611 0.0611 0.0611  1 Si 1.54



No. 12
The following is a PBE calculation of a geometry-optimized FeTc2H2 structure, from the Alexandria database.

## Properties
D(E_F)	0.508	states/eV/atom
E above lowest polymorph	7.7	kJ per mole of atoms
symmetry	P4/mbm, No. 127
raw total energy	-6.9638	eV per atom
total magnetic moment	1.7	μB/f.u.

abc: 5.6528 5.6528 2.8683
angles: 90.00 90.00 90.00
Last column: nearest neighbours and their distance in Å.
Fractional positions:
H 0.3156 0.8156 0.0000  2 Tc 1.96, 2 Fe 2.07
H 0.8156 0.6844 0.0000  2 Tc 1.96, 2 Fe 2.07
H 0.6844 0.1844 0.0000  2 Tc 1.96, 2 Fe 2.07
H 0.1844 0.3156 0.0000  2 Tc 1.96, 2 Fe 2.07
Tc 0.1487 0.6487 0.5000  2 H 1.96
Tc 0.6487 0.8513 0.5000  2 H 1.96
Tc 0.8513 0.3513 0.5000  2 H 1.96
Tc 0.3513 0.1487 0.5000  2 H 1.96
Fe 0.0000 0.0000 0.0000  4 H 2.07
Fe 0.5000 0.5000 0.0000  4 H 2.07